# 1
PBE-GGA BaCo2Os, relaxed; density = 10208 kg/m3; calculated formation energy = 1.154 eV per atom; distance to the lowest polymorph of the same formula = 854.4 meV per atom; space group = Fm-3m (225)
1.0
-0.855 -0.731 4.542
-2.918 -3.415 1.312
1.675 -3.826 2.110
Co Os Ba
2 1 1
direct
0.250 0.250 0.250
0.750 0.750 0.750
0.500 0.500 0.500
0.000 0.000 0.000

***

# 2
PBE-GGA Ta2I2F, relaxed; density = 9310 kg/m3; distance to the lowest polymorph of the same formula = 320.3 meV per atom; space group = P4/mbm (127)
1.0
8.008 0.000 0.000
0.000 8.008 0.000
0.000 0.000 3.531
I F Ta
4 2 4
direct
0.179 0.679 0.500
0.679 0.821 0.500
0.821 0.321 0.500
0.321 0.179 0.500
0.000 0.000 0.000
0.500 0.500 0.000
0.391 0.891 0.000
0.891 0.609 0.000
0.609 0.109 0.000
0.109 0.391 0.000